Arrangement P

An optimized crystal structure of Li3Ag5Sn. Source: the Alexandria database, functional GGA-PBE.

Cell: 7.8996 7.8996 5.8412 Å, 90.00 90.00 120.00°
Space group P6_3/mcm (No. 193)
One atom of each set of equivalent atoms:
Li (0.0000, 0.3349, 0.2500) (multiplicity 6)
Ag (0.0000, 0.3396, 0.7500) (multiplicity 6)
Ag (0.3333, 0.6667, 0.0000) (multiplicity 4)
Sn (0.0000, 0.0000, 0.0000) (multiplicity 2)

---

Arrangement Q

An optimized crystal structure of Li3Ag5Sn. Source: the Alexandria database, functional GGA-PBE.

Cell: 8.9784 6.9559 11.2910 Å, 90.00 98.12 90.00°
Space group C2/m (No. 12)
One atom of each set of equivalent atoms:
Li (0.0000, 0.0000, 0.0000) (multiplicity 2)
Li (0.0000, 0.0000, 0.5000) (multiplicity 2)
Li (0.1729, 0.5000, 0.0069) (multiplicity 4)
Li (0.2493, 0.0000, 0.3767) (multiplicity 4)
Ag (0.0000, 0.3143, 0.5000) (multiplicity 4)
Ag (0.0275, 0.5000, 0.7843) (multiplicity 4)
Ag (0.1985, 0.2177, 0.1747) (multiplicity 8)
Ag (0.2268, 0.5000, 0.3885) (multiplicity 4)
Sn (0.0596, 0.0000, 0.7649) (multiplicity 4)

---

Stability check: which of them is least stable? arrangement Q.

---

Arrangement P

An optimized crystal structure of Li3Ag7Sn2. Source: the Alexandria database, functional GGA-PBE.

Cell: 4.5993 3.1285 16.1151 Å, 90.00 97.75 90.00°
Space group P2/m (No. 10)
One atom of each set of equivalent atoms:
Li (0.0000, 0.0000, 0.0000) (multiplicity 1)
Li (0.3121, 0.5000, 0.6200) (multiplicity 2)
Ag (0.0612, 0.5000, 0.1269) (multiplicity 2)
Ag (0.2286, 0.0000, 0.4542) (multiplicity 2)
Ag (0.4194, 0.0000, 0.8333) (multiplicity 2)
Ag (0.5000, 0.5000, 0.0000) (multiplicity 1)
Sn (0.1360, 0.0000, 0.2824) (multiplicity 2)

---

Arrangement Q

An optimized crystal structure of Li3Ag7Sn2. Source: the Alexandria database, functional GGA-PBE.

Cell: 4.7478 4.7481 10.1847 Å, 102.90 102.88 92.32°
Space group P-1 (No. 2)
One atom of each set of equivalent atoms:
Li (0.0000, 0.0000, 0.0000) (multiplicity 1)
Li (0.3369, 0.3352, 0.6714) (multiplicity 2)
Ag (0.0793, 0.5806, 0.1601) (multiplicity 2)
Ag (0.2483, 0.7503, 0.5000) (multiplicity 2)
Ag (0.4186, 0.9198, 0.8399) (multiplicity 2)
Ag (0.5000, 0.5000, 0.0000) (multiplicity 1)
Sn (0.1653, 0.1638, 0.3271) (multiplicity 2)

---

Stability check: which of them is least stable? arrangement P.

---

Arrangement P

An optimized crystal structure of LiZnAgSn. Source: the Alexandria database, functional GGA-PBE.

Cell: 6.6804 6.6804 6.6804 Å, 90.00 90.00 90.00°
Space group F-43m (No. 216)
One atom of each set of equivalent atoms:
Li (0.0000, 0.0000, 0.0000) (multiplicity 4)
Zn (0.2500, 0.2500, 0.2500) (multiplicity 4)
Ag (0.2500, 0.2500, 0.7500) (multiplicity 4)
Sn (0.0000, 0.0000, 0.5000) (multiplicity 4)

---

Arrangement Q

An optimized crystal structure of LiZnAgSn. Source: the Alexandria database, functional GGA-PBE.

Cell: 4.2797 4.2797 7.9721 Å, 90.00 90.00 90.00°
Space group I-4m2 (No. 119)
One atom of each set of equivalent atoms:
Li (0.0000, 0.0000, 0.0000) (multiplicity 2)
Zn (0.0000, 0.5000, 0.2500) (multiplicity 2)
Ag (0.0000, 0.0000, 0.5000) (multiplicity 2)
Sn (0.0000, 0.5000, 0.7500) (multiplicity 2)

---

Stability check: which of them is least stable? arrangement P.